The following is a GGA-PBE calculation of crystalline LaTbIn2Se4 at its relaxed geometry, from Alexandria.

Cell lengths 4.278, 8.089, 7.420 Å; angles 72.29, 90.00, 90.00 degrees
Element x y z (fractional)
La: 0.500 0.500 0.000
Tb: 0.000 0.500 0.500
In: 0.000 0.000 0.000
In: 0.500 0.000 0.500
Se: 0.000 0.714 0.751
Se: 0.000 0.286 0.249
Se: 0.500 0.710 0.273
Se: 0.500 0.290 0.727

The total energy comes out at -4.950 eV per atom.


The following is a GGA-PBE calculation of crystalline La4InTe2Se at its relaxed geometry, from Alexandria.

Cell lengths 4.483, 7.945, 7.862 Å; angles 71.09, 90.00, 90.00 degrees
Element x y z (fractional)
La: 0.000 0.743 0.747
La: 0.000 0.257 0.253
La: 0.500 0.734 0.260
La: 0.500 0.266 0.740
In: 0.500 0.500 0.000
Te: 0.000 0.000 0.000
Te: 0.500 0.000 0.500
Se: 0.000 0.500 0.500

The total energy comes out at -5.410 eV per atom.


The following is a GGA-PBE calculation of crystalline LaIn2TeSe at its relaxed geometry, from Alexandria.

Cell lengths 6.445, 5.415, 6.445 Å; angles 90.00, 90.00, 90.00 degrees
Element x y z (fractional)
Te: 0.500 0.500 0.500
In: 0.000 0.000 0.500
In: 0.500 0.000 0.000
Se: 0.000 0.500 0.000
La: 0.000 0.000 0.000

The total energy comes out at -3.311 eV per atom.


The following is a GGA-PBE calculation of crystalline LaTl2InSe4 at its relaxed geometry, from Alexandria.

Cell lengths 8.827, 8.827, 8.962 Å; angles 120.51, 120.51, 90.60 degrees
Element x y z (fractional)
La: 0.000 0.500 0.000
La: 0.000 0.500 0.500
Tl: 0.500 0.000 0.000
Tl: 0.500 0.000 0.500
Tl: 0.000 0.000 0.500
Tl: 0.500 0.500 0.000
In: 0.500 0.500 0.500
In: 0.000 0.000 0.000
Se: 0.215 0.747 0.981
Se: 0.753 0.285 0.519
Se: 0.247 0.715 0.481
Se: 0.785 0.253 0.019
Se: 0.757 0.743 0.962
Se: 0.757 0.743 0.538
Se: 0.243 0.257 0.462
Se: 0.243 0.257 0.038

The total energy comes out at -4.205 eV per atom.


The following is a GGA-PBE calculation of crystalline LaTmIn2Se4 at its relaxed geometry, from Alexandria.

Cell lengths 4.243, 8.086, 7.366 Å; angles 72.47, 90.00, 90.00 degrees
Element x y z (fractional)
La: 0.500 0.500 0.000
Tm: 0.000 0.500 0.500
In: 0.000 0.000 0.000
In: 0.500 0.000 0.500
Se: 0.000 0.713 0.748
Se: 0.000 0.287 0.252
Se: 0.500 0.707 0.278
Se: 0.500 0.293 0.722

The total energy comes out at -4.917 eV per atom.


The following is a GGA-PBE calculation of crystalline La5InSi2 at its relaxed geometry, from Alexandria.

Cell lengths 8.082, 8.082, 9.363 Å; angles 115.57, 115.57, 90.00 degrees
Element x y z (fractional)
La: 0.538 0.684 0.722
La: 0.816 0.962 0.278
La: 0.000 0.000 0.000
La: 0.500 0.500 0.000
La: 0.184 0.038 0.722
La: 0.684 0.184 0.722
La: 0.038 0.538 0.722
La: 0.316 0.816 0.278
La: 0.962 0.462 0.278
La: 0.462 0.316 0.278
In: 0.750 0.750 0.500
In: 0.250 0.250 0.500
Si: 0.114 0.386 0.000
Si: 0.614 0.114 0.000
Si: 0.386 0.886 0.000
Si: 0.886 0.614 0.000

The total energy comes out at -5.332 eV per atom.


The following is a GGA-PBE calculation of crystalline LaIn2Si at its relaxed geometry, from Alexandria.

Cell lengths 4.870, 4.788, 4.793 Å; angles 79.65, 90.00, 90.00 degrees
Element x y z (fractional)
In: 0.000 0.952 0.951
In: 0.000 0.548 0.549
La: 0.500 0.250 0.250
Si: 0.500 0.750 0.750

The total energy comes out at -4.175 eV per atom.


The following is a GGA-PBE calculation of crystalline LaIn2Si at its relaxed geometry, from Alexandria.

Cell lengths 5.244, 5.244, 5.244 Å; angles 60.00, 60.00, 60.00 degrees
Element x y z (fractional)
In: 0.000 0.000 0.000
In: 0.250 0.250 0.250
La: 0.500 0.500 0.500
Si: 0.750 0.750 0.750

The total energy comes out at -4.075 eV per atom.


Please write out number 1 again, unchanged.
The following is a GGA-PBE calculation of crystalline LaTbIn2Se4 at its relaxed geometry, from Alexandria.

Cell lengths 4.278, 8.089, 7.420 Å; angles 72.29, 90.00, 90.00 degrees
Element x y z (fractional)
La: 0.500 0.500 0.000
Tb: 0.000 0.500 0.500
In: 0.000 0.000 0.000
In: 0.500 0.000 0.500
Se: 0.000 0.714 0.751
Se: 0.000 0.286 0.249
Se: 0.500 0.710 0.273
Se: 0.500 0.290 0.727

The total energy comes out at -4.950 eV per atom.